# PmCoO3, optimized geometry, DFT PBE+U
# crystal system: orthorhombic
# DFT total energy: -7.130 eV/atom
data_PmCoO3
_chemical_formula_sum 'Pm4 Co4 O12'
_cell_length_a 5.327
_cell_length_b 7.763
_cell_length_c 5.492
_cell_angle_alpha 90.00
_cell_angle_beta 90.00
_cell_angle_gamma 90.00
_space_group_name_H-M_alt 'I m m a'
_space_group_IT_number 74
_space_group_name_Hall '-I 2b 2'
loop_
_atom_site_label
_atom_site_type_symbol
_atom_site_fract_x
_atom_site_fract_y
_atom_site_fract_z
Pm1 Pm 0.000 0.250 0.011
Co1 Co 0.000 0.000 0.500
O1 O 0.000 0.250 0.587
O2 O 0.250 0.050 0.250